# Li3TlTe4O12

A relaxed Li3TlTe4O12 crystal (PBE, Alexandria).

```
data_Li3TlTe4O12
_chemical_formula_sum 'Li6 Tl2 Te8 O24'
_space_group_name_H-M_alt 'I m -3'
_space_group_IT_number 204
_space_group_name_Hall '-I 2 2 3'
_cell_length_a 7.9150
_cell_length_b 7.9150
_cell_length_c 7.9150
_cell_angle_alpha 90.00
_cell_angle_beta 90.00
_cell_angle_gamma 90.00
loop_
_atom_site_label
_atom_site_type_symbol
_atom_site_fract_x
_atom_site_fract_y
_atom_site_fract_z
Li1 Li 0.0000 0.0000 0.5000
Tl1 Tl 0.0000 0.0000 0.0000
Te1 Te 0.2500 0.2500 0.2500
O1 O 0.0000 0.1937 0.3084
```

Summary:
Total DFT energy (no corrections)   -204.7 eV/cell


# ZrBe2Cl

A relaxed ZrBe2Cl crystal (PBE, Alexandria).

```
data_ZrBe2Cl
_chemical_formula_sum 'Zr2 Be4 Cl2'
_space_group_name_H-M_alt 'I -4 m 2'
_space_group_IT_number 119
_space_group_name_Hall 'I -4 -2'
_cell_length_a 3.8869
_cell_length_b 3.8869
_cell_length_c 7.7928
_cell_angle_alpha 90.00
_cell_angle_beta 90.00
_cell_angle_gamma 90.00
loop_
_atom_site_label
_atom_site_type_symbol
_atom_site_fract_x
_atom_site_fract_y
_atom_site_fract_z
Zr1 Zr 0.0000 0.0000 0.0000
Be1 Be 0.0000 0.0000 0.5000
Be2 Be 0.0000 0.5000 0.7500
Cl1 Cl 0.0000 0.5000 0.2500
```

Summary:
Distance to the lowest polymorph of the same formula   545 meV per atom


# Cd2Pd9Pt

A relaxed Cd2Pd9Pt crystal (PBE, Alexandria).

```
data_Cd2Pd9Pt
_chemical_formula_sum 'Cd2 Pd9 Pt1'
_space_group_name_H-M_alt 'P 4/m m m'
_space_group_IT_number 123
_space_group_name_Hall '-P 4 2'
_cell_length_a 3.9865
_cell_length_b 3.9865
_cell_length_c 12.1081
_cell_angle_alpha 90.00
_cell_angle_beta 90.00
_cell_angle_gamma 90.00
loop_
_atom_site_label
_atom_site_type_symbol
_atom_site_fract_x
_atom_site_fract_y
_atom_site_fract_z
Cd1 Cd 0.0000 0.0000 0.1684
Pd1 Pd 0.0000 0.5000 0.0000
Pd2 Pd 0.0000 0.5000 0.3381
Pd3 Pd 0.5000 0.5000 0.1695
Pd4 Pd 0.5000 0.5000 0.5000
Pt1 Pt 0.0000 0.0000 0.5000
```

Summary:
ΔE_f   -0.1684 eV per atom


# Ba3Cu

A relaxed Ba3Cu crystal (PBE, Alexandria).

```
data_Ba3Cu
_chemical_formula_sum 'Ba6 Cu2'
_space_group_name_H-M_alt 'P m -3 n'
_space_group_IT_number 223
_space_group_name_Hall '-P 4n 2 3'
_cell_length_a 7.1294
_cell_length_b 7.1294
_cell_length_c 7.1294
_cell_angle_alpha 90.00
_cell_angle_beta 90.00
_cell_angle_gamma 90.00
loop_
_atom_site_label
_atom_site_type_symbol
_atom_site_fract_x
_atom_site_fract_y
_atom_site_fract_z
Ba1 Ba 0.0000 0.2500 0.5000
Cu1 Cu 0.0000 0.0000 0.0000
```

Summary:
ΔE_f   0.3301 eV per atom


# MgTc2Os

A relaxed MgTc2Os crystal (PBE, Alexandria).

```
data_MgTc2Os
_chemical_formula_sum 'Mg2 Tc4 Os2'
_space_group_name_H-M_alt 'C m m 2'
_space_group_IT_number 35
_cell_length_a 2.9152
_cell_length_b 4.5767
_cell_length_c 9.1241
_cell_angle_alpha 90.00
_cell_angle_beta 90.00
_cell_angle_gamma 90.00
loop_
_space_group_symop_operation_xyz
'x,y,z'
'-x,-y,z'
'-x,y,z'
'x,-y,z'
'x+1/2,y+1/2,z'
'-x+1/2,-y+1/2,z'
'-x+1/2,y+1/2,z'
'x+1/2,-y+1/2,z'
loop_
_atom_site_label
_atom_site_type_symbol
_atom_site_fract_x
_atom_site_fract_y
_atom_site_fract_z
Mg1 Mg 0.0000 0.0000 0.0000
Tc1 Tc 0.0000 0.0000 0.5001
Tc2 Tc 0.0000 0.5000 0.7401
Os1 Os 0.0000 0.5000 0.2546
```

Summary:
ΔE_f   0.3066 eV per atom


# TlZn2O

A relaxed TlZn2O crystal (PBE, Alexandria).

```
data_TlZn2O
_chemical_formula_sum 'Tl4 Zn8 O4'
_space_group_name_H-M_alt 'F m -3 m'
_space_group_IT_number 225
_space_group_name_Hall '-F 4 2 3'
_cell_length_a 6.5471
_cell_length_b 6.5471
_cell_length_c 6.5471
_cell_angle_alpha 90.00
_cell_angle_beta 90.00
_cell_angle_gamma 90.00
loop_
_atom_site_label
_atom_site_type_symbol
_atom_site_fract_x
_atom_site_fract_y
_atom_site_fract_z
Tl1 Tl 0.0000 0.0000 0.0000
Zn1 Zn 0.2500 0.2500 0.2500
O1 O 0.0000 0.0000 0.5000
```

Summary:
Distance to the lowest polymorph of the same formula   729 meV per atom


# Ac2MgAl4Ga3

A relaxed Ac2MgAl4Ga3 crystal (PBE, Alexandria).

```
data_Ac2MgAl4Ga3
_chemical_formula_sum 'Ac2 Mg1 Al4 Ga3'
_space_group_name_H-M_alt 'P -4 m 2'
_space_group_IT_number 115
_cell_length_a 4.4647
_cell_length_b 4.4647
_cell_length_c 11.3232
_cell_angle_alpha 90.00
_cell_angle_beta 90.00
_cell_angle_gamma 90.00
loop_
_space_group_symop_operation_xyz
'x,y,z'
'y,-x,-z'
'-x,-y,z'
'-y,x,-z'
'-x,y,z'
'-y,-x,-z'
'x,-y,z'
'y,x,-z'
loop_
_atom_site_label
_atom_site_type_symbol
_atom_site_fract_x
_atom_site_fract_y
_atom_site_fract_z
Ac1 Ac 0.0000 0.5000 0.2457
Mg1 Mg 0.0000 0.0000 0.5000
Al1 Al 0.0000 0.0000 0.0000
Al2 Al 0.0000 0.5000 0.6404
Al3 Al 0.5000 0.5000 0.0000
Ga1 Ga 0.0000 0.5000 0.8700
Ga2 Ga 0.5000 0.5000 0.5000
```

Summary:
ΔE_f   -0.3840 eV per atom


# SrLiMg6

A relaxed SrLiMg6 crystal (PBE, Alexandria).

```
data_SrLiMg6
_chemical_formula_sum 'Sr3 Li3 Mg18'
_space_group_name_H-M_alt 'R -3 m'
_space_group_IT_number 166
_space_group_name_Hall '-R 3 2"'
_cell_length_a 5.1587
_cell_length_b 5.1587
_cell_length_c 26.7851
_cell_angle_alpha 90.00
_cell_angle_beta 90.00
_cell_angle_gamma 120.00
loop_
_atom_site_label
_atom_site_type_symbol
_atom_site_fract_x
_atom_site_fract_y
_atom_site_fract_z
Sr1 Sr 0.0000 0.0000 0.0000
Li1 Li 0.0000 0.0000 0.5000
Mg1 Mg 0.0000 0.0000 0.1318
Mg2 Mg 0.0000 0.0000 0.2485
Mg3 Mg 0.0000 0.0000 0.3932
```

Summary:
ΔE_f   -0.0035 eV per atom
Distance to the lowest polymorph of the same formula   0 meV per atom


# RbFe2I2Br6

A relaxed RbFe2I2Br6 crystal (PBE, Alexandria).

```
data_RbFe2I2Br6
_chemical_formula_sum 'Rb1 Fe2 I2 Br6'
_space_group_name_H-M_alt 'P -3'
_space_group_IT_number 147
_cell_length_a 7.2958
_cell_length_b 7.2958
_cell_length_c 10.8377
_cell_angle_alpha 90.00
_cell_angle_beta 90.00
_cell_angle_gamma 120.00
loop_
_space_group_symop_operation_xyz
'x,y,z'
'-x,-y,-z'
'-y,x-y,z'
'y,-x+y,-z'
'-x+y,-x,z'
'x-y,x,-z'
loop_
_atom_site_label
_atom_site_type_symbol
_atom_site_fract_x
_atom_site_fract_y
_atom_site_fract_z
Rb1 Rb 0.0000 0.0000 0.0000
Fe1 Fe 0.3333 0.6667 0.7409
I1 I 0.3333 0.6667 0.5079
Br1 Br 0.0035 0.6025 0.8107
```

Summary:
Total DFT energy (no corrections)   -37.6 eV/cell


# NaLi2HPt

A relaxed NaLi2HPt crystal (PBE, Alexandria).

```
data_NaLi2HPt
_chemical_formula_sum 'Na1 Li2 H1 Pt1'
_space_group_name_H-M_alt 'P 4/m m m'
_space_group_IT_number 123
_space_group_name_Hall '-P 4 2'
_cell_length_a 4.2769
_cell_length_b 4.2769
_cell_length_c 3.7747
_cell_angle_alpha 90.00
_cell_angle_beta 90.00
_cell_angle_gamma 90.00
loop_
_atom_site_label
_atom_site_type_symbol
_atom_site_fract_x
_atom_site_fract_y
_atom_site_fract_z
Na1 Na 0.0000 0.0000 0.0000
Li1 Li 0.0000 0.5000 0.5000
H1 H 0.5000 0.5000 0.5000
Pt1 Pt 0.5000 0.5000 0.0000
```

Summary:
Total DFT energy (no corrections)   -15.8 eV/cell


# CaPtIO2

A relaxed CaPtIO2 crystal (PBE, Alexandria).

```
data_CaPtIO2
_chemical_formula_sum 'Ca1 Pt1 I1 O2'
_space_group_name_H-M_alt 'P 4/m m m'
_space_group_IT_number 123
_space_group_name_Hall '-P 4 2'
_cell_length_a 4.2022
_cell_length_b 4.2022
_cell_length_c 6.8628
_cell_angle_alpha 90.00
_cell_angle_beta 90.00
_cell_angle_gamma 90.00
loop_
_atom_site_label
_atom_site_type_symbol
_atom_site_fract_x
_atom_site_fract_y
_atom_site_fract_z
Ca1 Ca 0.0000 0.0000 0.0000
Pt1 Pt 0.5000 0.5000 0.5000
I1 I 0.0000 0.0000 0.5000
O1 O 0.0000 0.5000 0.0000
```

Summary:
Distance to the lowest polymorph of the same formula   386 meV per atom


# GaBiHPb2

A relaxed GaBiHPb2 crystal (PBE, Alexandria).

```
data_GaBiHPb2
_chemical_formula_sum 'Ga1 Bi1 H1 Pb2'
_space_group_name_H-M_alt 'P 4/m m m'
_space_group_IT_number 123
_space_group_name_Hall '-P 4 2'
_cell_length_a 5.9473
_cell_length_b 5.9473
_cell_length_c 3.4938
_cell_angle_alpha 90.00
_cell_angle_beta 90.00
_cell_angle_gamma 90.00
loop_
_atom_site_label
_atom_site_type_symbol
_atom_site_fract_x
_atom_site_fract_y
_atom_site_fract_z
Ga1 Ga 0.0000 0.0000 0.0000
Bi1 Bi 0.5000 0.5000 0.5000
H1 H 0.0000 0.0000 0.5000
Pb1 Pb 0.0000 0.5000 0.0000
```

Summary:
Distance to the lowest polymorph of the same formula   0 meV per atom


# La3Ho3Er8

A relaxed La3Ho3Er8 crystal (PBE, Alexandria).

```
data_La3Ho3Er8
_chemical_formula_sum 'La6 Ho6 Er16'
_space_group_name_H-M_alt 'I m m m'
_space_group_IT_number 71
_space_group_name_Hall '-I 2 2'
_cell_length_a 5.6517
_cell_length_b 10.7629
_cell_length_c 15.1255
_cell_angle_alpha 90.00
_cell_angle_beta 90.00
_cell_angle_gamma 90.00
loop_
_atom_site_label
_atom_site_type_symbol
_atom_site_fract_x
_atom_site_fract_y
_atom_site_fract_z
La1 La 0.0000 0.0000 0.0000
La2 La 0.0000 0.5000 0.3141
Ho1 Ho 0.0000 0.0000 0.5000
Ho2 Ho 0.0000 0.2961 0.5000
Er1 Er 0.0000 0.1621 0.2813
Er2 Er 0.0000 0.3416 0.1016
```

Summary:
ΔE_f   0.1055 eV per atom


| no. | ρ (Mg/m³) | DOS at the Fermi energy (states/eV/cell) |
| --- | --- | --- |
| 1 | 6.21 | 11.411 |
| 2 | 4.08 | 2.879 |
| 3 | 11.89 | 20.626 |
| 4 | 4.36 | 11.473 |
| 5 | 11.20 | 9.427 |
| 6 | 8.31 | 9.973 |
| 7 | 5.85 | 3.879 |
| 8 | 1.94 | 11.089 |
| 9 | 3.09 | 9.016 |
| 10 | 5.60 | 1.031 |
| 11 | 5.40 | 7.075 |
| 12 | 9.33 | 1.104 |
| 13 | 8.12 | 46.648 |